1.
Entry from Alexandria: crystalline Y4Ag3Ir at its relaxed geometry (GGA-PBE).

Results
energy relative to the elements	-3.654	eV/f.u.
calculated density	7.80	g/cm3

Lattice parameters (Å, degrees): 3.573 3.573 14.537 90.00 90.00 90.00
Sites, in units of the cell vectors:
Y 0.000 0.000 0.112
Y 0.000 0.000 0.371
Y 0.000 0.000 0.629
Y 0.000 0.000 0.888
Ag 0.500 0.500 0.245
Ag 0.500 0.500 0.500
Ag 0.500 0.500 0.755
Ir 0.500 0.500 0.000

2.
Entry from Alexandria: crystalline Sm2Be3Pt4Au at its relaxed geometry (GGA-PBE).

Results
energy relative to the elements	-8.127	eV/f.u.
calculated density	12.70	g/cm3

Lattice parameters (Å, degrees): 4.026 4.026 10.526 90.00 90.00 90.00
Sites, in units of the cell vectors:
Sm 0.000 0.500 0.240
Sm 0.500 0.000 0.760
Be 0.000 0.500 0.889
Be 0.500 0.000 0.111
Be 0.500 0.500 0.500
Pt 0.000 0.000 0.000
Pt 0.000 0.500 0.672
Pt 0.500 0.000 0.328
Pt 0.500 0.500 0.000
Au 0.000 0.000 0.500

3.
Entry from Alexandria: crystalline La4Te5H at its relaxed geometry (GGA-PBE).

Results
total energy	-51.275	eV for the cell shown
calculated density	5.75	g/cm3

Lattice parameters (Å, degrees): 10.007 10.007 8.051 95.54 95.54 25.49
Sites, in units of the cell vectors:
La 0.017 0.017 0.230
La 0.277 0.277 0.762
La 0.723 0.723 0.238
La 0.983 0.983 0.770
Te 0.144 0.144 0.979
Te 0.161 0.161 0.463
Te 0.500 0.500 0.500
Te 0.839 0.839 0.537
Te 0.856 0.856 0.021
H 0.500 0.500 0.000

4.
Entry from Alexandria: crystalline Ho2CrReN5 at its relaxed geometry (GGA-PBE).

Results
calculated density	10.10	g/cm3
formation energy from raw total energies	-0.801	eV/atom

Lattice parameters (Å, degrees): 6.597 6.597 10.055 90.00 90.00 151.34
Sites, in units of the cell vectors:
Ho 0.109 0.891 0.500
Ho 0.153 0.847 0.101
Ho 0.847 0.153 0.601
Ho 0.891 0.109 0.000
Cr 0.223 0.777 0.825
Cr 0.777 0.223 0.325
Re 0.472 0.528 0.270
Re 0.528 0.472 0.770
N 0.055 0.945 0.862
N 0.280 0.720 0.456
N 0.320 0.680 0.191
N 0.370 0.630 0.812
N 0.488 0.512 0.589
N 0.512 0.488 0.089
N 0.630 0.370 0.312
N 0.680 0.320 0.691
N 0.720 0.280 0.956
N 0.945 0.055 0.362

5.
Entry from Alexandria: crystalline MnAsIr at its relaxed geometry (GGA-PBE).

Results
energy relative to the elements	0.115	eV/f.u.
calculated density	12.25	g/cm3

Lattice parameters (Å, degrees): 2.770 2.770 5.687 90.00 90.00 90.00
Sites, in units of the cell vectors:
Mn 0.000 0.000 0.000
As 0.500 0.500 0.279
Ir 0.500 0.500 0.715

6.
Entry from Alexandria: crystalline Cs2Bi2Br at its relaxed geometry (GGA-PBE).

Results
calculated density	4.43	g/cm3
formation energy from raw total energies	-0.432	eV/atom

Lattice parameters (Å, degrees): 7.380 7.380 7.380 119.52 119.52 90.84
Sites, in units of the cell vectors:
Cs 0.250 0.750 0.500
Cs 0.750 0.250 0.500
Bi 0.133 0.133 0.000
Bi 0.867 0.867 0.000
Br 0.500 0.500 0.000

7.
Entry from Alexandria: crystalline Ga6Ir at its relaxed geometry (GGA-PBE).

Results
energy relative to the elements	-0.936	eV/f.u.
calculated density	8.45	g/cm3

Lattice parameters (Å, degrees): 5.107 5.107 9.198 90.00 90.00 89.33
Sites, in units of the cell vectors:
Ga 0.016 0.627 0.250
Ga 0.160 0.840 0.594
Ga 0.160 0.840 0.906
Ga 0.307 0.307 0.000
Ga 0.307 0.307 0.500
Ga 0.373 0.984 0.250
Ga 0.627 0.016 0.750
Ga 0.693 0.693 0.000
Ga 0.693 0.693 0.500
Ga 0.840 0.160 0.094
Ga 0.840 0.160 0.406
Ga 0.984 0.373 0.750
Ir 0.481 0.519 0.750
Ir 0.519 0.481 0.250

8.
Entry from Alexandria: crystalline NbBrN at its relaxed geometry (GGA-PBE).

Results
calculated density	4.56	g/cm3
formation energy from raw total energies	-0.929	eV/atom

Lattice parameters (Å, degrees): 3.465 4.305 9.275 90.00 100.17 90.00
Sites, in units of the cell vectors:
Nb 0.221 0.250 0.438
Nb 0.779 0.750 0.562
Br 0.388 0.750 0.792
Br 0.612 0.250 0.208
N 0.220 0.750 0.436
N 0.780 0.250 0.564

9.
Entry from Alexandria: crystalline KNaLiTl2 at its relaxed geometry (GGA-PBE).

Results
energy relative to the elements	0.272	eV/f.u.
calculated density	4.77	g/cm3

Lattice parameters (Å, degrees): 5.338 5.338 5.833 90.00 90.00 90.00
Sites, in units of the cell vectors:
K 0.000 0.000 0.000
Na 0.500 0.500 0.000
Li 0.000 0.000 0.500
Tl 0.000 0.500 0.500
Tl 0.500 0.000 0.500

10.
Entry from Alexandria: crystalline Li4Cu at its relaxed geometry (GGA-PBE).

Results
energy relative to the elements	0.711	eV/f.u.
calculated density	1.51	g/cm3

Lattice parameters (Å, degrees): 5.076 5.076 5.076 109.47 109.47 109.47
Sites, in units of the cell vectors:
Li 0.000 0.000 0.500
Li 0.000 0.500 0.000
Li 0.500 0.000 0.000
Li 0.500 0.500 0.500
Cu 0.000 0.000 0.000

11.
Entry from Alexandria: crystalline SrCo3Ir at its relaxed geometry (GGA-PBE).

Results
energy relative to the elements	12.118	eV/f.u.
calculated density	8.36	g/cm3

Lattice parameters (Å, degrees): 4.493 4.493 4.493 90.00 90.00 90.00
Sites, in units of the cell vectors:
Sr 0.000 0.000 0.000
Co 0.000 0.000 0.500
Co 0.000 0.500 0.000
Co 0.500 0.000 0.000
Ir 0.500 0.500 0.500

12.
Entry from Alexandria: crystalline CsLaAg2W at its relaxed geometry (GGA-PBE).

Results
energy relative to the elements	6.573	eV/f.u.
calculated density	5.68	g/cm3

Lattice parameters (Å, degrees): 6.109 6.109 5.256 90.00 90.00 90.00
Sites, in units of the cell vectors:
Cs 0.000 0.000 0.000
La 0.500 0.500 0.500
Ag 0.000 0.500 0.500
Ag 0.500 0.000 0.500
W 0.500 0.500 0.000